Record 1
This record from Alexandria describes crystalline MgHgGe at its relaxed geometry. The functional is PBE-GGA.

calculated total energy = -25.35 eV per cell
ΔE_f = 0.06 eV per atom

CIF file:
```
data_MgHgGe
_symmetry_space_group_name_H-M 'C 1 2/m 1'
_symmetry_Int_Tables_number 12
_cell_length_a 5.3796
_cell_length_b 8.8421
_cell_length_c 5.4361
_cell_angle_alpha 90.00
_cell_angle_beta 90.20
_cell_angle_gamma 90.00
loop_
_symmetry_equiv_pos_as_xyz
'x,y,z'
'-x,-y,-z'
'-x,y,-z'
'x,-y,z'
'x+1/2,y+1/2,z'
'-x+1/2,-y+1/2,-z'
'-x+1/2,y+1/2,-z'
'x+1/2,-y+1/2,z'
loop_
_atom_site_label
_atom_site_type_symbol
_atom_site_fract_x
_atom_site_fract_y
_atom_site_fract_z
Mg1 Mg 0.0000 0.0000 0.0000
Mg2 Mg 0.0000 0.5000 0.5000
Hg1 Hg 0.0000 0.1692 0.5000
Ge1 Ge 0.0000 0.3440 0.0000
```

Record 2
This record from Alexandria describes crystalline Dy2Cd3Hg3 at its relaxed geometry. The functional is PBE-GGA.

calculated total energy = -46.77 eV per cell
ΔE_f = -0.34 eV per atom

CIF file:
```
data_Dy2Cd3Hg3
_symmetry_space_group_name_H-M 'R 3 m'
_symmetry_Int_Tables_number 160
_symmetry_space_group_name_Hall 'R 3 -2"'
_cell_length_a 5.0840
_cell_length_b 5.0840
_cell_length_c 24.9711
_cell_angle_alpha 90.00
_cell_angle_beta 90.00
_cell_angle_gamma 120.00
loop_
_atom_site_label
_atom_site_type_symbol
_atom_site_fract_x
_atom_site_fract_y
_atom_site_fract_z
Dy1 Dy 0.0000 0.0000 0.0000
Dy2 Dy 0.0000 0.0000 0.4954
Cd1 Cd 0.0000 0.0000 0.2472
Cd2 Cd 0.0000 0.0000 0.7483
Cd3 Cd 0.0000 0.0000 0.8739
Hg1 Hg 0.0000 0.0000 0.1245
Hg2 Hg 0.0000 0.0000 0.3718
Hg3 Hg 0.0000 0.0000 0.6206
```

Record 3
This record from Alexandria describes crystalline CrHRhI2 at its relaxed geometry. The functional is PBE-GGA.

calculated total energy = -20.20 eV per cell

CIF file:
```
data_CrHRhI2
_symmetry_space_group_name_H-M 'P 4/m m m'
_symmetry_Int_Tables_number 123
_symmetry_space_group_name_Hall '-P 4 2'
_cell_length_a 5.1340
_cell_length_b 5.1340
_cell_length_c 3.4776
_cell_angle_alpha 90.00
_cell_angle_beta 90.00
_cell_angle_gamma 90.00
loop_
_atom_site_label
_atom_site_type_symbol
_atom_site_fract_x
_atom_site_fract_y
_atom_site_fract_z
Cr1 Cr 0.0000 0.0000 0.0000
H1 H 0.0000 0.0000 0.5000
Rh1 Rh 0.5000 0.5000 0.0000
I1 I 0.0000 0.5000 0.5000
```

Record 4
This record from Alexandria describes crystalline TaAl3Br at its relaxed geometry. The functional is PBE-GGA.

raw formation energy = 1312 meV per atom
calculated total energy = -18.19 eV per cell

CIF file:
```
data_TaAl3Br
_symmetry_space_group_name_H-M 'P m -3 m'
_symmetry_Int_Tables_number 221
_symmetry_space_group_name_Hall '-P 4 2 3'
_cell_length_a 4.7791
_cell_length_b 4.7791
_cell_length_c 4.7791
_cell_angle_alpha 90.00
_cell_angle_beta 90.00
_cell_angle_gamma 90.00
loop_
_atom_site_label
_atom_site_type_symbol
_atom_site_fract_x
_atom_site_fract_y
_atom_site_fract_z
Ta1 Ta 0.0000 0.0000 0.0000
Al1 Al 0.0000 0.5000 0.5000
Br1 Br 0.5000 0.5000 0.5000
```